YPaGaSn: optimized geometry, GGA-PBE.

Properties
E_tot   -0.4422 Ry/atom
Calculated formation energy   -0.269 eV per atom
Total magnetization   0.462 μB per atom

Cell lengths 7.3733, 7.3733, 7.3733 Å; angles 90.00, 90.00, 90.00 degrees
With the nearest neighbours (Å) after each atom.
Space group F-43m (No. 216)
One atom of each set of equivalent atoms:
Y (0.0000, 0.0000, 0.0000) [4 per cell]  4 Sn 3.19, 4 Ga 3.19
Pa (0.0000, 0.0000, 0.5000) [4 per cell]  4 Sn 3.19, 4 Ga 3.19
Ga (0.2500, 0.2500, 0.7500) [4 per cell]  4 Pa 3.19, 4 Y 3.19
Sn (0.2500, 0.2500, 0.2500) [4 per cell]  4 Pa 3.19, 4 Y 3.19

---

PaZnGaSn: optimized geometry, GGA-PBE.

Properties
E_tot   -0.3454 Ry/atom
Calculated formation energy   -0.250 eV per atom
Total magnetization   0.000 μB per atom

Cell lengths 4.3304, 4.3679, 4.5424 Å; angles 90.00, 90.00, 90.00 degrees
With the nearest neighbours (Å) after each atom.
Space group Pmmm (No. 47)
One atom of each set of equivalent atoms:
Pa (0.0000, 0.0000, 0.0000) [1 per cell]  4 Ga 3.08, 4 Zn 3.14, 4 Sn 3.15
Zn (0.5000, 0.0000, 0.5000) [1 per cell]  4 Sn 3.08, 4 Pa 3.14, 4 Ga 3.15
Ga (0.5000, 0.5000, 0.0000) [1 per cell]  4 Pa 3.08, 4 Sn 3.14, 4 Zn 3.15
Sn (0.0000, 0.5000, 0.5000) [1 per cell]  4 Zn 3.08, 4 Ga 3.14, 4 Pa 3.15